This record from Alexandria describes a relaxed structure of BaCuO3. The functional is PBEsol.

Lattice parameters (Å, degrees): 5.653 9.737 4.941 90.00 92.69 90.00
Space group C2/c (No. 15)
Asymmetric unit:
Ba1 0.000 0.165 0.250 (multiplicity 4)
Cu1 0.000 0.500 0.000 (multiplicity 4)
O1 0.000 0.354 0.750 (multiplicity 4)
O2 0.232 0.420 0.295 (multiplicity 8)

Computed properties:
Total moment in μB/cell: 4.057
DOS at the Fermi energy in states/eV/f.u.: 0.7
Formation energy from raw total energies in eV per formula unit: -6.56
Crystal system: monoclinic